No. 1
Below is RbAu after structural relaxation, with properties calculated at the PBE level.

The structure in extended XYZ format:
```
4
Lattice="6.018 0.000 0.000 -3.009 5.212 0.000 0.000 0.000 7.037" Properties=species:S:1:pos:R:3 pbc="T T T"
Rb 0.000 3.475 1.759
Rb 3.009 1.737 5.278
Au 0.000 3.475 5.278
Au 3.009 1.737 1.759
```

Output
- VASP energy (eV per atom) = -2.338
- calculated formation energy (eV/atom) = -0.216
- magnetization (μB/f.u.) = 0.0

=====

No. 2
Below is Ho6Al43W4 after structural relaxation, with properties calculated at the PBE level.

The structure in extended XYZ format:
```
106
Lattice="11.016 0.000 0.000 -5.508 9.540 0.000 0.000 0.000 17.654" Properties=species:S:1:pos:R:3 pbc="T T T"
Ho -2.582 4.473 1.689
Ho -2.582 4.473 7.138
Ho -2.925 5.067 10.516
Ho -2.925 5.067 15.965
Ho 5.165 0.000 1.689
Ho 5.165 0.000 7.138
Ho 2.582 4.473 10.516
Ho 2.582 4.473 15.965
Ho 5.851 0.000 10.516
Ho 5.851 0.000 15.965
Ho 2.925 5.067 1.689
Ho 2.925 5.067 7.138
Al -0.817 1.415 13.240
Al -0.882 1.527 2.021
Al -0.882 1.527 6.806
Al -1.401 2.427 9.369
Al -1.401 2.427 17.112
Al -4.107 7.113 0.542
Al -4.107 7.113 8.285
Al -4.626 8.013 10.848
Al -4.626 8.013 15.633
Al -4.691 8.125 4.413
Al -1.423 5.267 4.413
Al -1.658 5.674 13.240
Al 1.634 0.000 13.240
Al 0.817 1.415 4.413
Al -0.435 3.763 11.713
Al -0.435 3.763 14.768
Al -2.466 7.282 2.886
Al -2.466 7.282 5.941
Al 1.763 0.000 2.021
Al 1.763 0.000 6.806
Al 0.882 1.527 10.848
Al 0.882 1.527 15.633
Al 0.435 3.763 2.886
Al 0.435 3.763 5.941
Al -2.032 8.035 11.713
Al -2.032 8.035 14.768
Al 0.000 4.701 0.000
Al 0.000 4.701 8.827
Al -1.436 7.189 0.000
Al -1.436 7.189 8.827
Al 2.802 0.000 9.369
Al 2.802 0.000 17.112
Al 1.401 2.427 0.542
Al 1.401 2.427 8.285
Al 0.000 6.360 2.213
Al 0.000 6.360 6.614
Al 0.000 6.360 11.040
Al 0.000 6.360 15.441
Al 3.476 1.505 11.713
Al 3.476 1.505 14.768
Al 3.041 2.258 2.886
Al 3.041 2.258 5.941
Al 1.423 5.267 13.240
Al -0.235 8.138 4.413
Al 1.658 5.674 4.413
Al 0.235 8.138 13.240
Al 4.071 2.351 0.000
Al 4.071 2.351 8.827
Al 1.436 7.189 0.000
Al 1.436 7.189 8.827
Al 5.273 1.401 4.413
Al 3.850 3.866 13.240
Al 5.743 1.401 13.240
Al 4.085 4.273 4.413
Al 2.466 7.282 11.713
Al 2.466 7.282 14.768
Al 2.032 8.035 2.886
Al 2.032 8.035 5.941
Al 5.508 3.180 2.213
Al 5.508 3.180 6.614
Al 5.508 3.180 11.040
Al 5.508 3.180 15.441
Al 8.214 0.000 0.542
Al 8.214 0.000 8.285
Al 4.107 7.113 9.369
Al 4.107 7.113 17.112
Al 6.944 2.351 0.000
Al 6.944 2.351 8.827
Al 5.508 4.838 0.000
Al 5.508 4.838 8.827
Al 7.540 1.505 2.886
Al 7.540 1.505 5.941
Al 5.073 5.777 11.713
Al 5.073 5.777 14.768
Al 9.252 0.000 10.848
Al 9.252 0.000 15.633
Al 4.626 8.013 2.021
Al 4.626 8.013 6.806
Al 7.974 2.258 11.713
Al 7.974 2.258 14.768
Al 5.942 5.777 2.886
Al 5.942 5.777 5.941
Al 9.382 0.000 4.413
Al 4.691 8.125 13.240
Al 7.166 3.866 4.413
Al 6.931 4.273 13.240
W 0.000 0.000 0.000
W 0.000 0.000 8.827
W -1.493 2.585 4.413
W -4.015 6.955 13.240
W 2.985 0.000 4.413
W 1.493 2.585 13.240
W 8.030 0.000 13.240
W 4.015 6.955 4.413
```

Output
- VASP energy (eV per atom) = -4.810
- calculated formation energy (eV/atom) = -0.278
- magnetization (μB/f.u.) = 0.0

=====

No. 3
Below is HfTi2Fe9 after structural relaxation, with properties calculated at the PBE level.

The structure in extended XYZ format:
```
12
Lattice="2.395 1.382 7.836 -2.395 1.382 7.836 0.000 -2.765 7.836" Properties=species:S:1:pos:R:3 pbc="T T T"
Hf 0.000 0.000 0.000
Ti 0.000 0.000 3.373
Ti 0.000 0.000 20.135
Fe -1.213 -0.700 9.851
Fe 0.000 0.000 7.839
Fe 0.000 -1.400 13.657
Fe -1.213 0.700 13.657
Fe 0.000 0.000 11.754
Fe 1.213 -0.700 9.851
Fe 0.000 1.400 9.851
Fe 0.000 0.000 15.669
Fe 1.213 0.700 13.657
```

Output
- VASP energy (eV per atom) = -8.703
- calculated formation energy (eV/atom) = -0.211
- magnetization (μB/f.u.) = 14.7

=====

No. 4
Below is Tm2MgNi12P3 after structural relaxation, with properties calculated at the PBE level.

The structure in extended XYZ format:
```
18
Lattice="4.205 2.428 3.908 -4.205 2.428 3.908 0.000 -4.855 3.908" Properties=species:S:1:pos:R:3 pbc="T T T"
Tm 0.000 0.000 1.736
Tm 0.000 0.000 9.986
Mg 0.000 0.000 5.861
Ni 0.000 -2.312 3.298
Ni -2.003 1.156 3.298
Ni -2.091 -1.207 6.045
Ni 0.000 -2.415 5.678
Ni -2.091 1.207 5.678
Ni -2.003 -1.156 8.425
Ni 2.003 1.156 3.298
Ni 2.091 -1.207 6.045
Ni 0.000 2.415 6.045
Ni 2.091 1.207 5.678
Ni 2.003 -1.156 8.425
Ni 0.000 2.312 8.425
P -2.102 -1.214 3.908
P -2.102 1.214 7.815
P 0.000 2.428 3.908
```

Output
- VASP energy (eV per atom) = -5.563
- calculated formation energy (eV/atom) = -0.222
- magnetization (μB/f.u.) = 0.0

=====

No. 5
Below is Pm3YSn4 after structural relaxation, with properties calculated at the PBE level.

The structure in extended XYZ format:
```
16
Lattice="12.631 0.000 0.000 0.000 6.329 0.000 0.000 0.000 6.329" Properties=species:S:1:pos:R:3 pbc="T T T"
Pm 0.000 1.579 0.000
Pm 3.157 1.584 3.163
Pm 3.159 4.745 6.328
Pm 6.316 4.751 3.165
Pm 9.474 1.584 3.163
Pm 9.473 4.745 6.328
Y 0.000 4.743 3.169
Y 6.316 1.586 0.004
Sn 0.000 1.578 3.165
Sn 0.000 4.743 0.005
Sn 3.142 4.749 3.164
Sn 3.174 1.580 6.328
Sn 6.316 1.587 3.170
Sn 6.316 4.751 0.000
Sn 9.458 1.580 6.328
Sn 9.489 4.749 3.164
```

Output
- VASP energy (eV per atom) = -5.137
- calculated formation energy (eV/atom) = -0.546
- magnetization (μB/f.u.) = 0.0

=====

No. 6
Below is Sm2CoS after structural relaxation, with properties calculated at the PBE level.

The structure in extended XYZ format:
```
8
Lattice="2.008 -11.478 0.000 2.008 11.478 0.000 0.000 0.000 3.954" Properties=species:S:1:pos:R:3 pbc="T T T"
Sm 2.008 9.931 2.965
Sm 2.008 4.301 2.965
Sm 2.008 -4.301 0.988
Sm 2.008 -9.931 0.988
Co 2.008 0.555 2.965
Co 2.008 -0.555 0.988
S 2.008 7.093 2.965
S 2.008 -7.093 0.988
```

Output
- VASP energy (eV per atom) = -6.234
- formation energy (no corrections) (eV/atom) = -1.07
- magnetization (μB/f.u.) = 0.6

=====

No. 7
Below is Hf2VTeOs after structural relaxation, with properties calculated at the PBE level.

The structure in extended XYZ format:
```
5
Lattice="4.945 0.000 0.000 0.000 4.945 0.000 0.000 0.000 4.459" Properties=species:S:1:pos:R:3 pbc="T T T"
Hf 0.000 2.472 0.000
Hf 2.472 0.000 0.000
V 0.000 0.000 0.000
Te 2.472 2.472 2.230
Os 0.000 0.000 2.230
```

Output
- VASP energy (eV per atom) = -7.956
- formation energy (no corrections) (eV/atom) = 0.72
- magnetization (μB/f.u.) = 0.0

=====

No. 8
Below is Y2Mg3Ru2 after structural relaxation, with properties calculated at the PBE level.

The structure in extended XYZ format:
```
7
Lattice="5.079 -2.190 0.000 5.079 2.190 0.000 -1.101 0.000 6.932" Properties=species:S:1:pos:R:3 pbc="T T T"
Y 0.911 0.000 2.554
Y 8.146 0.000 4.378
Mg 0.915 0.000 5.957
Mg 5.079 0.000 0.000
Mg 8.142 0.000 0.976
Ru 3.875 0.000 2.430
Ru 5.181 0.000 4.503
```

Output
- VASP energy (eV per atom) = -5.394
- calculated formation energy (eV/atom) = -0.214
- magnetization (μB/f.u.) = 0.0

=====

Question: Look up the VASP energy of the second one.
Answer: -4.810 eV per atom

=====

What did the first record say?
Below is RbAu after structural relaxation, with properties calculated at the PBE level.

The structure in extended XYZ format:
```
4
Lattice="6.018 0.000 0.000 -3.009 5.212 0.000 0.000 0.000 7.037" Properties=species:S:1:pos:R:3 pbc="T T T"
Rb 0.000 3.475 1.759
Rb 3.009 1.737 5.278
Au 0.000 3.475 5.278
Au 3.009 1.737 1.759
```

Output
- VASP energy (eV per atom) = -2.338
- calculated formation energy (eV/atom) = -0.216
- magnetization (μB/f.u.) = 0.0

=====

Question: Number 6 is which compound?
Answer: Sm2CoS

=====

Question: Among the records above, which one has the highest magnetization?
Answer: HfTi2Fe9